Below is a geometry-optimized AcHgIO structure, with properties calculated at the PBE level.

Lattice parameters (Å, degrees): 4.326 4.326 13.783 90.00 90.00 90.00
Positions (direct):
Ac: 0.250 0.250 0.090
Ac: 0.750 0.750 0.910
Hg: 0.250 0.750 0.500
Hg: 0.750 0.250 0.500
I: 0.250 0.250 0.770
I: 0.750 0.750 0.230
O: 0.250 0.750 0.000
O: 0.750 0.250 0.000

- E_tot: -38.24 eV for the cell shown
- Formation energy from raw total energies: -2.05 eV/atom
- DOS at the Fermi energy: 0.12 states/eV/atom
- Magnetization: 0.000 μB/cell